No. 1
# Hf3Al2GaTc3

A relaxed structure of Hf3Al2GaTc3 (GGA-PBE, Alexandria).

Properties
For the energy of formation from the pure elements, the calculation gives -0.208 eV/atom. As for the density: 10329 kg/m³. The calculation puts the total magnetization at 0.0 μB/cell. Its energy is -8.149 eV per atom.

Unit cell a=7.4525 b=7.4525 c=3.1857 alpha=90.00 beta=90.00 gamma=120.00
Space group P-62m (No. 189)
One atom of each set of equivalent atoms:
Hf1 0.0000 0.7179 0.0000 (multiplicity 3)
Al1 0.3333 0.6667 0.0000 (multiplicity 2)
Ga1 0.0000 0.0000 0.5000 (multiplicity 1)
Tc1 0.0000 0.3861 0.5000 (multiplicity 3)


No. 2
# HfAlGaTe2

A relaxed structure of HfAlGaTe2 (GGA-PBE, Alexandria).

Properties
As for the density: 5362 kg/m³. The calculation puts the total magnetization at 0.0 μB/cell. The calculation puts the energy relative to the elements, uncorrected at 0.134 eV per atom. Its energy is -4.468 eV per atom.

Unit cell a=5.581 b=5.581 c=5.273 alpha=90.00 beta=90.00 gamma=90.00
Space group P4/mmm (No. 123)
One atom of each set of equivalent atoms:
Hf1 0.000 0.000 0.000 (multiplicity 1)
Al1 0.500 0.500 0.500 (multiplicity 1)
Ga1 0.000 0.000 0.500 (multiplicity 1)
Te1 0.000 0.500 0.000 (multiplicity 2)


No. 3
# Hf2TiAlGa

A relaxed structure of Hf2TiAlGa (GGA-PBE, Alexandria).

Properties
For the energy of formation from the pure elements, the calculation gives 0.444 eV/atom. As for the density: 7358 kg/m³. The calculation puts the total magnetization at 0.0 μB/cell. Its energy is -6.471 eV per atom.

Unit cell a=4.916 b=4.916 c=4.684 alpha=90.00 beta=90.00 gamma=90.00
Space group P4/mmm (No. 123)
One atom of each set of equivalent atoms:
Hf1 0.000 0.500 0.000 (multiplicity 2)
Ti1 0.000 0.000 0.500 (multiplicity 1)
Al1 0.500 0.500 0.500 (multiplicity 1)
Ga1 0.000 0.000 0.000 (multiplicity 1)


No. 4
# HfAl2TlGa

A relaxed structure of HfAl2TlGa (GGA-PBE, Alexandria).

Properties
For the energy of formation from the pure elements, the calculation gives 0.675 eV/atom. As for the density: 5568 kg/m³. The calculation puts the total magnetization at 0.0 μB/cell. Its energy is -3.891 eV per atom.

Unit cell a=5.369 b=5.369 c=5.241 alpha=90.00 beta=90.00 gamma=90.00
Space group P4/mmm (No. 123)
One atom of each set of equivalent atoms:
Hf1 0.000 0.000 0.000 (multiplicity 1)
Al1 0.000 0.500 0.000 (multiplicity 2)
Tl1 0.500 0.500 0.500 (multiplicity 1)
Ga1 0.000 0.000 0.500 (multiplicity 1)


No. 5
# TmHfAlGa

A relaxed structure of TmHfAlGa (GGA-PBE, Alexandria).

Properties
For the energy of formation from the pure elements, the calculation gives -0.306 eV/atom. As for the density: 9041 kg/m³. The calculation puts the total magnetization at 0.0 μB/cell. Its energy is -5.605 eV per atom.

Unit cell a=6.884 b=6.884 c=6.884 alpha=90.00 beta=90.00 gamma=90.00
Space group F-43m (No. 216)
One atom of each set of equivalent atoms:
Tm1 0.000 0.000 0.000 (multiplicity 4)
Hf1 0.000 0.000 0.500 (multiplicity 4)
Al1 0.250 0.250 0.750 (multiplicity 4)
Ga1 0.250 0.250 0.250 (multiplicity 4)


No. 6
# HfAlVGa2

A relaxed structure of HfAlVGa2 (GGA-PBE, Alexandria).

Properties
For the energy of formation from the pure elements, the calculation gives 1.081 eV/atom. As for the density: 5000 kg/m³. The calculation puts the total magnetization at 2.9 μB/cell. Its energy is -4.693 eV per atom.

Unit cell a=5.061 b=5.061 c=5.133 alpha=90.00 beta=90.00 gamma=90.00
Space group P4/mmm (No. 123)
One atom of each set of equivalent atoms:
Hf1 0.000 0.000 0.000 (multiplicity 1)
Al1 0.000 0.000 0.500 (multiplicity 1)
V1 0.500 0.500 0.500 (multiplicity 1)
Ga1 0.000 0.500 0.000 (multiplicity 2)


No. 7
# HfAlZnGa

A relaxed structure of HfAlZnGa (GGA-PBE, Alexandria).

Properties
For the energy of formation from the pure elements, the calculation gives -0.380 eV/atom. As for the density: 8502 kg/m³. The calculation puts the total magnetization at 0.0 μB/cell. Its energy is -4.880 eV per atom.

Unit cell a=3.997 b=4.055 c=4.104 alpha=90.00 beta=90.00 gamma=90.00
Space group Pmmm (No. 47)
One atom of each set of equivalent atoms:
Hf1 0.000 0.000 0.000 (multiplicity 1)
Al1 0.500 0.000 0.500 (multiplicity 1)
Zn1 0.000 0.500 0.500 (multiplicity 1)
Ga1 0.500 0.500 0.000 (multiplicity 1)


No. 8
# HfZrAl2Ga

A relaxed structure of HfZrAl2Ga (GGA-PBE, Alexandria).

Properties
For the energy of formation from the pure elements, the calculation gives 0.877 eV/atom. As for the density: 5361 kg/m³. The calculation puts the total magnetization at 0.0 μB/cell. Its energy is -4.926 eV per atom.

Unit cell a=4.964 b=4.964 c=4.944 alpha=90.00 beta=90.00 gamma=90.00
Space group P4/mmm (No. 123)
One atom of each set of equivalent atoms:
Hf1 0.000 0.000 0.000 (multiplicity 1)
Zr1 0.500 0.500 0.500 (multiplicity 1)
Al1 0.000 0.500 0.500 (multiplicity 2)
Ga1 0.500 0.500 0.000 (multiplicity 1)


No. 9
# Hf2Zr2AlGa4

A relaxed structure of Hf2Zr2AlGa4 (GGA-PBE, Alexandria).

Properties
For the energy of formation from the pure elements, the calculation gives 0.017 eV/atom. As for the density: 7866 kg/m³. The calculation puts the total magnetization at 0.0 μB/cell. Its energy is -5.855 eV per atom.

Unit cell a=6.237 b=6.237 c=9.174 alpha=90.00 beta=90.00 gamma=90.00
Space group I4/mmm (No. 139)
One atom of each set of equivalent atoms:
Hf1 0.000 0.500 0.250 (multiplicity 4)
Zr1 0.000 0.000 0.221 (multiplicity 4)
Al1 0.000 0.000 0.500 (multiplicity 2)
Ga1 0.224 0.224 0.000 (multiplicity 8)


No. 10
# Hf2Zr2Al4Ga

A relaxed structure of Hf2Zr2Al4Ga (GGA-PBE, Alexandria).

Properties
For the energy of formation from the pure elements, the calculation gives -0.033 eV/atom. As for the density: 6673 kg/m³. The calculation puts the total magnetization at 0.0 μB/cell. Its energy is -6.144 eV per atom.

Unit cell a=6.182 b=6.182 c=9.340 alpha=90.00 beta=90.00 gamma=90.00
Space group I4/mmm (No. 139)
One atom of each set of equivalent atoms:
Hf1 0.000 0.500 0.250 (multiplicity 4)
Zr1 0.000 0.000 0.227 (multiplicity 4)
Al1 0.222 0.222 0.000 (multiplicity 8)
Ga1 0.000 0.000 0.500 (multiplicity 2)


No. 11
# Al2GaHg2

A relaxed structure of Al2GaHg2 (GGA-PBE, Alexandria).

Properties
For the energy of formation from the pure elements, the calculation gives 0.199 eV/atom. The calculation puts the energy above the lowest structure with this stoichiometry at 0.297 eV per formula unit. As for the density: 8118 kg/m³. The calculation puts the total magnetization at 0.0 μB/cell. Its energy is -2.024 eV per atom.

Unit cell a=8.329 b=8.329 c=3.095 alpha=90.00 beta=90.00 gamma=90.00
Space group P4/mbm (No. 127)
One atom of each set of equivalent atoms:
Al1 0.120 0.380 0.000 (multiplicity 4)
Ga1 0.000 0.000 0.500 (multiplicity 2)
Hg1 0.179 0.679 0.500 (multiplicity 4)


No. 12
# Al2Ga2Hg

A relaxed structure of Al2Ga2Hg (GGA-PBE, Alexandria).

Properties
For the energy of formation from the pure elements, the calculation gives 0.094 eV/atom. The calculation puts the energy above the lowest structure with this stoichiometry at 0.075 eV per formula unit. As for the density: 6427 kg/m³. The calculation puts the total magnetization at 0.0 μB/cell. Its energy is -2.674 eV per atom.

Unit cell a=4.220 b=4.220 c=11.431 alpha=90.00 beta=90.00 gamma=90.00
Space group I4/mmm (No. 139)
One atom of each set of equivalent atoms:
Al1 0.000 0.500 0.250 (multiplicity 4)
Ga1 0.000 0.000 0.108 (multiplicity 4)
Hg1 0.000 0.000 0.500 (multiplicity 2)